(1)
First-principles (meta-GGA SCAN) data for BaY2Se at its PBEsol-relaxed geometry, as listed in Alexandria via LeMat-Bulk.

The raw formation energy comes out at -79.2 kJ per mole of atoms. The value obtained for the uncorrected energy is -118.60 eV for the cell shown.

The structure belongs to space group P4mm (No. 99); the cell edges are 3.833, 3.833 and 8.521 Å and the angles 90.00°, 90.00° and 90.00°. Symmetry generates all atoms from Ba at (0.000, 0.000, 0.000), Y at (0.000, 0.000, 0.412), Y at (0.500, 0.500, 0.659) and Se at (0.500, 0.500, 0.293).

---

(2)
First-principles (meta-GGA SCAN) data for BaY2Se at its PBEsol-relaxed geometry, as listed in Alexandria via LeMat-Bulk.

The raw formation energy comes out at -75.1 kJ per mole of atoms. The value obtained for the uncorrected energy is -236.85 eV for the cell shown.

The structure belongs to space group Cm (No. 8); the cell edges are 12.348, 3.713 and 6.594 Å and the angles 90.00°, 121.64° and 90.00°. Symmetry generates all atoms from Ba at (0.000, 0.000, 0.000), Y at (0.132, 0.500, 0.627), Y at (0.333, 0.500, 0.371) and Se at (0.271, 0.000, 0.003).

---

(3)
First-principles (meta-GGA SCAN) data for Ba3YSe at its PBEsol-relaxed geometry, as listed in Alexandria via LeMat-Bulk.

The raw formation energy comes out at 30.8 kJ per mole of atoms. The value obtained for the uncorrected energy is -164.98 eV for the cell shown.

The structure belongs to space group Pm-3m (No. 221); the cell edges are 6.044, 6.044 and 6.044 Å and the angles 90.00°, 90.00° and 90.00°. Symmetry generates all atoms from Ba at (0.000, 0.000, 0.500), Y at (0.000, 0.000, 0.000) and Se at (0.500, 0.500, 0.500).